Record 1
A plane-wave DFT calculation with GGA-PBE was carried out for a relaxed structure of LiMnBi2Se4.

Cell lengths 3.9366, 7.3331, 7.0958 Å; angles 106.89, 90.00, 90.00 degrees
Last column: nearest neighbours and their distance in Å.
Element x y z (fractional)
Li 0.0000 0.0000 0.0000  6 Se 2.87-2.88
Mn 0.5000 0.5000 0.0000  6 Se 2.67-2.83
Bi 0.5000 0.0000 0.5000  6 Se 2.97-3.18
Bi 0.0000 0.5000 0.5000  6 Se 2.96
Se 0.5000 0.2487 0.2361  1 Mn 2.83, 2 Li 2.87, 3 Bi 2.96-2.97
Se 0.5000 0.7513 0.7639  1 Mn 2.83, 2 Li 2.87, 3 Bi 2.96-2.97
Se 0.0000 0.2866 0.7950  2 Mn 2.67, 1 Li 2.88, 1 Bi 2.96
Se 0.0000 0.7134 0.2050  2 Mn 2.67, 1 Li 2.88, 1 Bi 2.96

Calculated values
Mass density, g/cm³: 6.7
Space-group type: P2/m (10)
Raw total energy, eV/atom: -4.54
Formation energy (no corrections), eV per atom: -0.4412

---

Record 2
A plane-wave DFT calculation with GGA-PBE was carried out for a relaxed structure of Li2MnTcBi.

Cell lengths 4.9212, 5.2010, 4.9212 Å; angles 90.00, 90.00, 90.00 degrees
Last column: nearest neighbours and their distance in Å.
Element x y z (fractional)
Mn 0.0000 0.5000 0.0000  2 Bi 2.60
Li 0.0000 0.0000 0.5000  2 Bi 2.46
Li 0.5000 0.0000 0.0000  2 Bi 2.46
Bi 0.0000 0.0000 0.0000  4 Li 2.46, 2 Mn 2.60
Tc 0.5000 0.5000 0.5000  4 Mn 3.48, 8 Li 3.58

Calculated values
Mass density, g/cm³: 5.0
Space-group type: P4/mmm (123)
ΔH_f (0 K), eV/atom: 1.177
Raw total energy, eV/atom: -4.27

---

Record 3
A plane-wave DFT calculation with GGA-PBE was carried out for a relaxed structure of LiBi2Mo.

Cell lengths 6.7555, 6.7555, 7.5928 Å; angles 63.59, 63.59, 90.00 degrees
Last column: nearest neighbours and their distance in Å.
Element x y z (fractional)
Mo 0.0000 0.0000 0.0000  4 Bi 2.70
Mo 0.7500 0.2500 0.5000  4 Bi 2.70
Bi 0.6515 0.1250 0.2500  2 Mo 2.70, 2 Li 2.92
Bi 0.0985 0.6250 0.2500  2 Mo 2.70, 2 Li 2.92
Bi 0.3750 0.3485 0.7500  2 Mo 2.70, 2 Li 2.92
Bi 0.8750 0.9015 0.7500  2 Mo 2.70, 2 Li 2.92
Li 0.5000 0.5000 0.0000  4 Bi 2.92
Li 0.2500 0.7500 0.5000  4 Bi 2.92

Calculated values
Energy above the lowest structure with this stoichiometry, eV per formula unit: 1.41
Mass density, g/cm³: 6.4
Space-group type: I-42d (122)
ΔH_f (0 K), eV/atom: 0.641
Raw total energy, eV/atom: -4.49

---

Record 4
A plane-wave DFT calculation with GGA-PBE was carried out for a relaxed structure of Li2BiMo.

Cell lengths 7.4544, 7.4544, 5.9311 Å; angles 51.07, 51.07, 90.00 degrees
Last column: nearest neighbours and their distance in Å.
Element x y z (fractional)
Mo 0.5000 0.5000 0.0000  4 Li 2.70, 2 Bi 2.72
Mo 0.2500 0.7500 0.5000  4 Li 2.70, 2 Bi 2.72
Bi 0.0000 0.0000 0.0000  2 Mo 2.72, 4 Li 2.74
Bi 0.7500 0.2500 0.5000  2 Mo 2.72, 4 Li 2.74
Li 0.6211 0.1250 0.2500  2 Mo 2.70, 2 Li 2.72, 2 Bi 2.74
Li 0.1289 0.6250 0.2500  2 Mo 2.70, 2 Li 2.72, 2 Bi 2.74
Li 0.3750 0.3789 0.7500  2 Mo 2.70, 2 Li 2.72, 2 Bi 2.74
Li 0.8750 0.8711 0.7500  2 Mo 2.70, 2 Li 2.72, 2 Bi 2.74

Calculated values
Mass density, g/cm³: 7.0
Space-group type: I-42d (122)
ΔH_f (0 K), eV/atom: 0.586
Raw total energy, eV/atom: -4.05